(1)
LiGeSb: optimized geometry, GGA-PBE.

Structure (POSCAR):
```
LiGeSb
1.0
6.170 0.000 0.000
-3.085 5.343 0.000
0.000 0.000 6.262
Li Ge Sb
3 3 3
Cartesian
-2.146 4.086 0.000
0.619 1.441 4.175
1.527 5.158 2.087
2.508 1.109 6.099
2.792 2.616 1.924
3.955 1.617 4.012
-1.121 4.153 3.497
0.048 2.296 1.410
1.073 4.237 5.584
```

Fermi-level density of states: 0.735 states/eV per cell
Excess energy over the best structure of this formula in the dataset: 0.0 meV/atom
Formation energy without anion corrections: -0.112 eV per atom

(2)
TaTiNb6: optimized geometry, GGA-PBE.

Structure (POSCAR):
```
TaTiNb6
1.0
4.663 0.000 0.000
0.000 3.312 4.689
0.000 -3.312 4.689
Ta Ti Nb
1 1 6
Cartesian
0.000 0.000 0.000
2.332 0.000 7.161
0.000 -1.613 2.408
0.000 1.613 2.408
0.000 0.000 4.809
2.332 0.000 2.385
2.332 -1.628 4.760
2.332 1.628 4.760
```

ΔH_f (0 K): 0.00 eV per atom
Fermi-level density of states: 14.186 states/eV per cell
Excess energy over the best structure of this formula in the dataset: 0.0 meV/atom

(3)
Pm2Ho3Tm: optimized geometry, GGA-PBE.

Structure (POSCAR):
```
Pm2Ho3Tm
1.0
8.531 -2.800 0.000
8.531 2.800 0.000
-5.689 0.000 8.048
Pm Ho Tm
4 6 2
Cartesian
-1.932 0.000 2.858
0.994 0.000 5.008
10.379 0.000 3.040
13.305 0.000 5.190
1.076 0.000 1.240
-1.636 0.000 7.461
7.142 0.000 0.954
4.231 0.000 7.094
13.009 0.000 0.587
10.297 0.000 6.807
4.192 0.000 2.990
7.181 0.000 5.057
```

ΔH_f (0 K): 0.10 eV per atom
Fermi-level density of states: 18.895 states/eV per cell

(4)
LiBAsBr2: optimized geometry, GGA-PBE.

Structure (POSCAR):
```
LiBAsBr2
1.0
5.290 0.000 0.000
0.000 5.290 0.000
0.000 0.000 4.026
Li B As Br
1 1 1 2
Cartesian
0.000 0.000 0.000
2.645 2.645 2.013
2.645 2.645 0.000
0.000 2.645 2.013
2.645 0.000 2.013
```

Fermi-level density of states: 2.162 states/eV per cell
Excess energy over the best structure of this formula in the dataset: 0.0 meV/atom
Formation energy without anion corrections: 0.262 eV per atom

(5)
Li3LaV: optimized geometry, GGA-PBE.

Structure (POSCAR):
```
Li3LaV
1.0
5.007 0.000 0.000
0.000 5.007 0.000
0.000 0.000 5.007
Li La V
3 1 1
Cartesian
0.000 0.000 2.503
0.000 2.503 0.000
2.503 0.000 0.000
2.503 2.503 2.503
0.000 0.000 0.000
```

ΔH_f (0 K): 0.69 eV per atom
Fermi-level density of states: 6.556 states/eV per cell
Excess energy over the best structure of this formula in the dataset: 0.0 meV/atom

(6)
MgMn2Cr: optimized geometry, GGA-PBE.

Structure (POSCAR):
```
MgMn2Cr
1.0
4.793 0.000 0.000
0.000 2.513 0.000
-2.259 0.000 4.345
Mg Mn Cr
1 2 1
Cartesian
0.000 0.000 0.000
1.267 0.000 2.172
2.396 1.257 0.000
-1.129 1.257 2.172
```

ΔH_f (0 K): 0.47 eV per atom
Fermi-level density of states: 3.692 states/eV per cell

(7)
AcNd3Au2: optimized geometry, GGA-PBE.

Structure (POSCAR):
```
AcNd3Au2
1.0
4.010 0.000 0.000
0.000 10.156 0.000
0.000 0.000 9.311
Ac Nd Au
2 6 4
Cartesian
0.000 0.822 0.000
0.000 9.334 4.656
0.000 2.908 6.015
0.000 7.248 1.359
2.005 2.278 3.045
2.005 4.388 9.126
2.005 5.768 4.471
2.005 7.878 7.700
0.000 4.397 2.422
0.000 5.759 7.078
2.005 0.745 6.700
2.005 9.411 2.044
```

ΔH_f (0 K): -0.52 eV per atom
Fermi-level density of states: 14.220 states/eV per cell
Excess energy over the best structure of this formula in the dataset: 0.0 meV/atom

(8)
CaAl2F6: optimized geometry, GGA-PBE.

Structure (POSCAR):
```
CaAl2F6
1.0
6.052 -1.691 0.000
6.052 1.691 0.000
-0.952 0.000 6.173
Ca Al F
1 2 6
Cartesian
0.000 0.000 0.000
2.358 0.000 4.303
8.795 0.000 1.871
0.597 0.000 4.519
2.745 0.000 0.969
4.121 0.000 4.976
7.032 0.000 1.198
8.407 0.000 5.205
10.555 0.000 1.654
```

Formation energy without anion corrections: -3.175 eV per atom

(9)
Li2SiAg: optimized geometry, GGA-PBE.

Structure (POSCAR):
```
Li2SiAg
1.0
1.420 0.820 8.944
-1.420 0.820 8.944
0.000 -1.640 8.944
Li Si Ag
2 1 1
Cartesian
0.000 0.000 6.600
0.000 0.000 20.233
0.000 0.000 13.417
0.000 0.000 0.000
```

Fermi-level density of states: 1.192 states/eV per cell
Formation energy without anion corrections: -0.086 eV per atom

(10)
Np3InSe6: optimized geometry, GGA-PBE.

Structure (POSCAR):
```
Np3InSe6
1.0
5.530 -6.502 0.000
5.530 6.502 0.000
0.000 0.000 7.188
Np In Se
6 2 12
Cartesian
5.530 5.178 3.594
3.502 1.241 4.291
3.502 -1.241 0.697
7.558 1.241 4.291
7.558 -1.241 0.697
5.530 -5.178 0.000
5.530 3.277 0.858
5.530 -3.277 4.452
3.138 3.682 2.874
1.737 0.516 2.142
1.737 -0.516 5.736
5.530 2.886 5.278
7.922 3.682 2.874
5.530 0.628 2.103
5.530 -0.628 5.698
3.138 -3.682 6.468
5.530 -2.886 1.684
9.323 0.516 2.142
9.323 -0.516 5.736
7.922 -3.682 6.468
```

Fermi-level density of states: 59.705 states/eV per cell
Formation energy without anion corrections: -0.955 eV per atom

(11)
TbSm2PbC: optimized geometry, GGA-PBE.

Structure (POSCAR):
```
TbSm2PbC
1.0
5.057 0.000 0.000
0.000 5.057 0.000
0.000 0.000 4.955
Tb Sm Pb C
1 2 1 1
Cartesian
0.000 0.000 0.000
0.000 2.529 2.478
2.529 0.000 2.478
2.529 2.529 0.000
0.000 0.000 2.478
```

ΔH_f (0 K): -0.48 eV per atom
Fermi-level density of states: 2.427 states/eV per cell

(12)
Zr2Zn2Tc: optimized geometry, GGA-PBE.

Structure (POSCAR):
```
Zr2Zn2Tc
1.0
1.851 -7.144 0.000
1.851 7.144 0.000
0.000 0.000 3.385
Zr Zn Tc
2 2 1
Cartesian
1.851 5.608 0.000
1.851 -5.608 0.000
1.851 2.818 1.692
1.851 -2.818 1.692
1.851 0.000 1.692
```

ΔH_f (0 K): -0.21 eV per atom
Fermi-level density of states: 3.862 states/eV per cell
Excess energy over the best structure of this formula in the dataset: 0.0 meV/atom

(13)
Ag3Pb: optimized geometry, GGA-PBE.

Structure (POSCAR):
```
Ag3Pb
1.0
3.031 -4.286 0.000
3.031 4.286 0.000
0.000 0.000 3.229
Ag Pb
3 1
Cartesian
0.000 0.000 0.000
1.516 2.143 1.614
1.516 -2.143 1.614
3.031 0.000 0.000
```

ΔH_f (0 K): 0.12 eV per atom
Fermi-level density of states: 1.241 states/eV per cell

(14)
AgTeMoI2: optimized geometry, GGA-PBE.

Structure (POSCAR):
```
AgTeMoI2
1.0
5.711 0.000 0.000
0.000 5.711 0.000
0.000 0.000 5.245
Ag Te Mo I
1 1 1 2
Cartesian
0.000 0.000 0.000
2.856 2.856 0.000
2.856 2.856 2.623
0.000 2.856 2.623
2.856 0.000 2.623
```

Fermi-level density of states: 3.203 states/eV per cell
Excess energy over the best structure of this formula in the dataset: 0.0 meV/atom
Formation energy without anion corrections: 0.500 eV per atom

(15)
Pr4SbS3: optimized geometry, GGA-PBE.

Structure (POSCAR):
```
Pr4SbS3
1.0
4.216 0.000 0.000
0.000 5.998 0.000
0.000 0.000 8.497
Pr Sb S
4 1 3
Cartesian
0.000 0.000 0.000
0.000 0.000 4.248
2.108 2.999 1.961
2.108 2.999 6.536
0.000 2.999 4.248
0.000 2.999 0.000
2.108 0.000 2.095
2.108 0.000 6.402
```

Fermi-level density of states: 3.136 states/eV per cell
Formation energy without anion corrections: -1.756 eV per atom

(16)
CaPmSi2: optimized geometry, GGA-PBE.

Structure (POSCAR):
```
CaPmSi2
1.0
3.893 0.000 0.000
0.000 2.227 5.415
0.000 -2.227 5.415
Ca Pm Si
1 1 2
Cartesian
0.000 0.000 0.000
1.947 0.000 7.778
0.000 0.000 3.114
1.947 0.000 4.645
```

Fermi-level density of states: 2.319 states/eV per cell
Formation energy without anion corrections: -0.650 eV per atom

(17)
PuCd5In6: optimized geometry, GGA-PBE.

Structure (POSCAR):
```
PuCd5In6
1.0
5.117 -7.139 0.000
5.117 7.139 0.000
-1.832 0.000 4.137
Pu Cd In
1 5 6
Cartesian
0.000 0.000 0.000
4.201 4.593 2.068
5.117 2.326 0.000
4.201 0.000 2.068
5.117 -2.326 0.000
4.201 -4.593 2.068
2.056 2.397 0.974
1.223 0.000 3.053
2.056 -2.397 0.974
6.346 2.397 3.162
7.180 0.000 1.084
6.346 -2.397 3.162
```

ΔH_f (0 K): 0.00 eV per atom
Fermi-level density of states: 17.153 states/eV per cell

(18)
YS2BrN: optimized geometry, GGA-PBE.

Structure (POSCAR):
```
YS2BrN
1.0
5.423 0.000 0.000
0.000 5.423 0.000
0.000 0.000 4.414
Y S Br N
1 2 1 1
Cartesian
0.000 0.000 0.000
0.000 2.711 0.000
2.711 0.000 0.000
2.711 2.711 2.207
0.000 0.000 2.207
```

Fermi-level density of states: 7.943 states/eV per cell
Excess energy over the best structure of this formula in the dataset: 20.3 meV/atom
Formation energy without anion corrections: 0.512 eV per atom

(19)
Ho2Zn2GePd5: optimized geometry, GGA-PBE.

Structure (POSCAR):
```
Ho2Zn2GePd5
1.0
9.698 0.000 0.000
0.000 9.698 0.000
0.000 0.000 3.720
Ho Zn Ge Pd
4 4 2 10
Cartesian
1.707 3.142 0.000
3.142 7.991 0.000
6.556 1.707 0.000
7.991 6.556 0.000
1.182 6.031 0.000
3.666 1.182 0.000
6.031 8.515 0.000
8.515 3.666 0.000
0.000 0.000 0.000
4.849 4.849 0.000
0.000 4.849 1.860
0.637 7.736 1.860
1.961 0.637 1.860
2.887 5.485 1.860
4.212 2.887 1.860
4.849 0.000 1.860
5.485 6.810 1.860
6.810 4.212 1.860
7.736 9.061 1.860
9.061 1.961 1.860
```

ΔH_f (0 K): -0.67 eV per atom
Fermi-level density of states: 9.358 states/eV per cell

(20)
HfTlF6: optimized geometry, GGA-PBE.

Structure (POSCAR):
```
HfTlF6
1.0
2.691 1.554 5.192
-2.691 1.554 5.192
0.000 -3.108 5.192
Hf Tl F
1 1 6
Cartesian
0.000 0.000 0.000
0.000 0.000 7.788
0.000 -1.524 3.968
-1.320 0.762 3.968
-1.320 -0.762 11.609
1.320 0.762 3.968
1.320 -0.762 11.609
0.000 1.524 11.609
```

Fermi-level density of states: 10.711 states/eV per cell
Excess energy over the best structure of this formula in the dataset: 252.6 meV/atom
Formation energy without anion corrections: -2.758 eV per atom

(21)
NaZr2In2: optimized geometry, GGA-PBE.

Structure (POSCAR):
```
NaZr2In2
1.0
8.984 0.000 0.000
0.000 8.984 0.000
0.000 0.000 3.130
Na Zr In
2 4 4
Cartesian
0.000 0.000 0.000
4.492 4.492 0.000
1.111 3.381 1.565
3.381 7.874 1.565
5.603 1.111 1.565
7.874 5.603 1.565
1.549 6.041 0.000
2.944 1.549 0.000
6.041 7.436 0.000
7.436 2.944 0.000
```

ΔH_f (0 K): -0.06 eV per atom
Fermi-level density of states: 9.577 states/eV per cell
Excess energy over the best structure of this formula in the dataset: 0.0 meV/atom

(22)
AsOsRu2: optimized geometry, GGA-PBE.

Structure (POSCAR):
```
AsOsRu2
1.0
1.408 0.813 8.356
-1.408 0.813 8.356
0.000 -1.626 8.356
As Os Ru
1 1 2
Cartesian
0.000 0.000 0.000
0.000 0.000 12.534
0.000 0.000 6.342
0.000 0.000 18.726
```

ΔH_f (0 K): 0.16 eV per atom
Fermi-level density of states: 4.701 states/eV per cell

(23)
La3PmTh2: optimized geometry, GGA-PBE.

Structure (POSCAR):
```
La3PmTh2
1.0
3.467 -9.011 0.000
3.467 9.011 0.000
-0.052 0.000 6.729
La Pm Th
6 2 4
Cartesian
1.686 3.097 4.853
3.428 6.397 5.046
1.712 -3.097 1.489
5.170 3.097 5.240
3.454 -6.397 1.682
5.196 -3.097 1.875
3.454 2.597 1.682
3.428 -2.597 5.046
1.677 0.185 6.356
1.703 -0.185 2.992
5.179 0.185 3.736
5.205 -0.185 0.372
```

ΔH_f (0 K): 0.15 eV per atom
Fermi-level density of states: 18.872 states/eV per cell

(24)
AcPm3DyHo: optimized geometry, GGA-PBE.

Structure (POSCAR):
```
AcPm3DyHo
1.0
8.197 0.000 0.000
0.000 5.201 0.000
-3.315 0.000 9.839
Ac Pm Dy Ho
2 6 2 2
Cartesian
0.428 1.300 2.876
4.455 3.901 6.963
1.291 3.901 0.390
-0.400 3.901 5.385
-1.204 1.300 7.810
6.087 3.901 2.029
5.282 1.300 4.455
3.592 1.300 9.450
1.160 3.901 8.629
3.723 1.300 1.210
1.994 1.300 6.182
2.889 3.901 3.658
```

ΔH_f (0 K): 0.04 eV per atom
Fermi-level density of states: 19.374 states/eV per cell

| no. | spin magnetization (μB per cell) | VASP energy (eV per atom) |
| --- | --- | --- |
| 1 | 0.00 | -3.66 |
| 2 | 0.00 | -10.02 |
| 3 | 0.00 | -4.52 |
| 4 | 0.00 | -3.06 |
| 5 | 5.12 | -3.27 |
| 6 | 2.66 | -6.92 |
| 7 | 0.00 | -4.69 |
| 8 | 0.00 | -5.48 |
| 9 | 0.00 | -3.11 |
| 10 | 19.99 | -7.20 |
| 11 | 0.00 | -5.88 |
| 12 | 0.00 | -6.21 |
| 13 | 0.00 | -2.95 |
| 14 | 2.40 | -3.48 |
| 15 | 0.00 | -6.21 |
| 16 | 0.00 | -5.05 |
| 17 | 6.00 | -2.95 |
| 18 | 2.22 | -4.43 |
| 19 | 0.00 | -4.89 |
| 20 | 0.28 | -5.70 |
| 21 | 0.00 | -4.84 |
| 22 | 0.00 | -8.45 |
| 23 | 0.00 | -5.58 |
| 24 | 0.00 | -4.55 |